The following is a DFT calculation (PBE-GGA) of an optimized crystal structure of Ca2PtBr.

Space-group type   No. 122
Energy above the most stable polymorph in this dataset   25.87 kJ per mole of atoms
Density   4.81 g/cm3

Geometry as POSCAR:
```
Ca2PtBr
1.0
7.589 0.000 0.000
0.000 7.589 0.000
3.795 3.795 4.255
Br Ca Pt
2 4 2
Direct
0.250 0.750 0.500
0.500 0.500 0.000
0.646 0.125 0.250
0.375 0.354 0.750
0.875 0.896 0.750
0.104 0.625 0.250
0.000 0.000 0.000
0.750 0.250 0.500
```



The following is a DFT calculation (PBE-GGA) of an optimized crystal structure of CdAsCl2.

Space-group type   No. 8
Energy above the most stable polymorph in this dataset   0.23 kJ per mole of atoms
Density   3.95 g/cm3

Geometry as POSCAR:
```
CdAsCl2
1.0
5.872 -0.017 0.064
4.876 3.271 0.064
0.855 0.259 5.633
As Cl Cd
1 2 1
Direct
0.594 0.594 0.472
0.931 0.931 0.102
0.723 0.723 0.738
0.253 0.253 0.188
```



The following is a DFT calculation (PBE-GGA) of an optimized crystal structure of Re2Os2O.

Space-group type   No. 127
Energy above the most stable polymorph in this dataset   0.00 kJ per mole of atoms
Density   16.57 g/cm3

Geometry as POSCAR:
```
Re2Os2O
1.0
7.407 0.000 0.000
0.000 7.407 0.000
0.000 0.000 2.809
Os Re O
4 4 2
Direct
0.369 0.131 0.500
0.869 0.369 0.500
0.631 0.869 0.500
0.131 0.631 0.500
0.163 0.337 0.000
0.337 0.837 0.000
0.837 0.663 0.000
0.663 0.163 0.000
0.000 0.000 0.000
0.500 0.500 0.000
```



Number 1: DOS(E_F) 2.63 states/eV/f.u.. Number 2: DOS(E_F) 1.90 states/eV/f.u.. Number 3: DOS(E_F) 5.44 states/eV/f.u..